[1]
Compound: Pr2Ho4Th3
Source: Alexandria via LeMat-Bulk
Functional: PBE-GGA
Structure: relaxed

a b c (Å): 3.574 3.574 26.756
angles (deg): 90.00 90.00 120.00
Fractional positions:
Pr (0.000, 0.000, 0.000)
Pr (0.000, 0.000, 0.224)
Ho (0.000, 0.000, 0.351)
Ho (0.000, 0.000, 0.567)
Ho (0.333, 0.667, 0.672)
Ho (0.333, 0.667, 0.888)
Th (0.000, 0.000, 0.780)
Th (0.333, 0.667, 0.113)
Th (0.333, 0.667, 0.456)

The energy relative to the elements is 0.73 eV/f.u. Its final energy is -5.488 eV per atom. As for the magnetic moment: 0.00 μB per cell.

---

[2]
Compound: Rb2HoBr5
Source: Alexandria via LeMat-Bulk
Functional: PBE-GGA
Structure: relaxed

a b c (Å): 13.876 9.231 8.844
angles (deg): 90.00 90.00 90.00
Fractional positions:
Rb (0.169, 0.010, 0.082)
Rb (0.169, 0.490, 0.082)
Rb (0.331, 0.510, 0.582)
Rb (0.331, 0.990, 0.582)
Rb (0.669, 0.010, 0.418)
Rb (0.669, 0.490, 0.418)
Rb (0.831, 0.510, 0.918)
Rb (0.831, 0.990, 0.918)
Ho (0.005, 0.250, 0.571)
Ho (0.495, 0.750, 0.071)
Ho (0.505, 0.250, 0.929)
Ho (0.995, 0.750, 0.429)
Br (0.015, 0.250, 0.898)
Br (0.058, 0.548, 0.666)
Br (0.058, 0.952, 0.666)
Br (0.182, 0.250, 0.413)
Br (0.193, 0.750, 0.363)
Br (0.307, 0.250, 0.863)
Br (0.318, 0.750, 0.913)
Br (0.442, 0.048, 0.166)
Br (0.442, 0.452, 0.166)
Br (0.485, 0.750, 0.398)
Br (0.515, 0.250, 0.602)
Br (0.558, 0.548, 0.834)
Br (0.558, 0.952, 0.834)
Br (0.682, 0.250, 0.087)
Br (0.693, 0.750, 0.137)
Br (0.807, 0.250, 0.637)
Br (0.818, 0.750, 0.587)
Br (0.942, 0.048, 0.334)
Br (0.942, 0.452, 0.334)
Br (0.985, 0.750, 0.102)

The energy relative to the elements, uncorrected comes out at -1833 meV per atom. The calculation puts the energy above the most stable polymorph in this dataset at 0 meV per atom. Its final energy is -3.692 eV per atom. As for the magnetic moment: 0.00 μB per cell.

---

[3]
Compound: KBPb
Source: Alexandria via LeMat-Bulk
Functional: PBE-GGA
Structure: relaxed

a b c (Å): 7.406 7.809 7.213
angles (deg): 90.00 90.00 90.00
Fractional positions:
K (0.000, 0.159, 0.250)
K (0.000, 0.841, 0.750)
K (0.500, 0.341, 0.750)
K (0.500, 0.659, 0.250)
B (0.000, 0.500, 0.000)
B (0.000, 0.500, 0.500)
B (0.500, 0.000, 0.000)
B (0.500, 0.000, 0.500)
Pb (0.000, 0.327, 0.750)
Pb (0.000, 0.673, 0.250)
Pb (0.500, 0.173, 0.250)
Pb (0.500, 0.827, 0.750)

The energy relative to the elements is 2.61 eV/f.u. The calculation puts the energy above the most stable polymorph in this dataset at 732 meV per atom. Its final energy is -2.958 eV per atom. As for the magnetic moment: 0.49 μB per cell.

---

[4]
Compound: Ac3Pd5Pb
Source: Alexandria via LeMat-Bulk
Functional: PBE-GGA
Structure: relaxed

a b c (Å): 8.851 8.851 8.851
angles (deg): 121.94 121.94 86.66
Fractional positions:
Ac (0.143, 0.643, 0.785)
Ac (0.250, 0.250, 0.000)
Ac (0.357, 0.143, 0.500)
Ac (0.643, 0.857, 0.500)
Ac (0.750, 0.750, 0.000)
Ac (0.857, 0.357, 0.215)
Pd (0.000, 0.000, 0.000)
Pd (0.043, 0.149, 0.500)
Pd (0.149, 0.649, 0.106)
Pd (0.351, 0.457, 0.500)
Pd (0.457, 0.957, 0.106)
Pd (0.500, 0.500, 0.000)
Pd (0.543, 0.043, 0.894)
Pd (0.649, 0.543, 0.500)
Pd (0.851, 0.351, 0.894)
Pd (0.957, 0.851, 0.500)
Pb (0.250, 0.750, 0.500)
Pb (0.750, 0.250, 0.500)

The energy relative to the elements is -4.50 eV/f.u. Its final energy is -5.166 eV per atom. As for the magnetic moment: 0.00 μB per cell.

---

[5]
Compound: Ac2AgAsO6
Source: Alexandria via LeMat-Bulk
Functional: PBE-GGA
Structure: relaxed

a b c (Å): 5.659 5.659 4.904
angles (deg): 90.00 90.00 90.00
Fractional positions:
Ac (0.000, 0.500, 0.000)
Ac (0.500, 0.000, 0.000)
Ag (0.000, 0.000, 0.494)
As (0.500, 0.500, 0.587)
O (0.000, 0.000, 0.054)
O (0.281, 0.281, 0.692)
O (0.281, 0.719, 0.692)
O (0.500, 0.500, 0.227)
O (0.719, 0.281, 0.692)
O (0.719, 0.719, 0.692)

The energy relative to the elements, uncorrected comes out at -2100 meV per atom. Its final energy is -6.646 eV per atom. As for the magnetic moment: 0.00 μB per cell.

---

[6]
Compound: YCoHg
Source: Alexandria via LeMat-Bulk
Functional: PBE-GGA
Structure: relaxed

a b c (Å): 12.920 3.898 5.063
angles (deg): 90.00 102.42 90.00
Fractional positions:
Y (0.132, 0.000, 0.325)
Y (0.368, 0.500, 0.675)
Y (0.632, 0.500, 0.325)
Y (0.868, 0.000, 0.675)
Co (0.231, 0.000, 0.889)
Co (0.269, 0.500, 0.111)
Co (0.731, 0.500, 0.889)
Co (0.769, 0.000, 0.111)
Hg (0.074, 0.500, 0.782)
Hg (0.426, 0.000, 0.218)
Hg (0.574, 0.000, 0.782)
Hg (0.926, 0.500, 0.218)

The energy relative to the elements is -0.72 eV/f.u. Its final energy is -4.864 eV per atom. As for the magnetic moment: 2.77 μB per cell.

---

[7]
Compound: ZrTaTe2
Source: Alexandria via LeMat-Bulk
Functional: PBE-GGA
Structure: relaxed

a b c (Å): 6.986 6.986 6.986
angles (deg): 90.00 90.00 90.00
Fractional positions:
Zr (0.000, 0.000, 0.000)
Zr (0.000, 0.500, 0.500)
Zr (0.500, 0.000, 0.500)
Zr (0.500, 0.500, 0.000)
Ta (0.000, 0.000, 0.500)
Ta (0.000, 0.500, 0.000)
Ta (0.500, 0.000, 0.000)
Ta (0.500, 0.500, 0.500)
Te (0.250, 0.250, 0.250)
Te (0.250, 0.250, 0.750)
Te (0.250, 0.750, 0.250)
Te (0.250, 0.750, 0.750)
Te (0.750, 0.250, 0.250)
Te (0.750, 0.250, 0.750)
Te (0.750, 0.750, 0.250)
Te (0.750, 0.750, 0.750)

The energy relative to the elements, uncorrected comes out at -242 meV per atom. The calculation puts the energy above the most stable polymorph in this dataset at 169 meV per atom. Its final energy is -6.913 eV per atom. As for the magnetic moment: 0.00 μB per cell.

---

[8]
Compound: La2Tb3Pm6Sc
Source: Alexandria via LeMat-Bulk
Functional: PBE-GGA
Structure: relaxed

a b c (Å): 6.258 6.258 11.985
angles (deg): 95.04 95.04 120.01
Fractional positions:
La (0.167, 0.833, 0.000)
La (0.833, 0.167, 0.000)
Tb (0.000, 0.000, 0.500)
Tb (0.334, 0.666, 0.500)
Tb (0.666, 0.334, 0.500)
Pm (0.088, 0.417, 0.748)
Pm (0.254, 0.254, 0.252)
Pm (0.417, 0.088, 0.748)
Pm (0.583, 0.912, 0.252)
Pm (0.746, 0.746, 0.748)
Pm (0.912, 0.583, 0.252)
Sc (0.500, 0.500, 0.000)

The energy relative to the elements is 0.34 eV/f.u. Its final energy is -4.853 eV per atom. As for the magnetic moment: 0.00 μB per cell.

---

[9]
Compound: Fe2AgIr
Source: Alexandria via LeMat-Bulk
Functional: PBE-GGA
Structure: relaxed

a b c (Å): 5.508 7.458 2.736
angles (deg): 90.00 90.00 90.00
Fractional positions:
Fe (0.250, 0.250, 0.000)
Fe (0.250, 0.750, 0.000)
Fe (0.750, 0.250, 0.000)
Fe (0.750, 0.750, 0.000)
Ag (0.000, 0.000, 0.500)
Ag (0.500, 0.500, 0.500)
Ir (0.000, 0.500, 0.500)
Ir (0.500, 0.000, 0.500)

The energy relative to the elements is 0.83 eV/f.u. Its final energy is -6.952 eV per atom. As for the magnetic moment: 11.94 μB per cell.

---

[10]
Compound: Th4ZnB3Rh12
Source: Alexandria via LeMat-Bulk
Functional: PBE-GGA
Structure: relaxed

a b c (Å): 7.532 7.532 7.532
angles (deg): 109.47 109.47 109.47
Fractional positions:
Th (0.000, 0.000, 0.500)
Th (0.000, 0.500, 0.000)
Th (0.500, 0.000, 0.000)
Th (0.500, 0.500, 0.500)
Zn (0.000, 0.000, 0.000)
B (0.000, 0.500, 0.500)
B (0.500, 0.000, 0.500)
B (0.500, 0.500, 0.000)
Rh (0.000, 0.272, 0.272)
Rh (0.000, 0.728, 0.728)
Rh (0.250, 0.500, 0.750)
Rh (0.250, 0.750, 0.500)
Rh (0.272, 0.000, 0.272)
Rh (0.272, 0.272, 0.000)
Rh (0.500, 0.250, 0.750)
Rh (0.500, 0.750, 0.250)
Rh (0.728, 0.000, 0.728)
Rh (0.728, 0.728, 0.000)
Rh (0.750, 0.250, 0.500)
Rh (0.750, 0.500, 0.250)

The energy relative to the elements is -15.79 eV/f.u. Its final energy is -7.750 eV per atom. As for the magnetic moment: 0.00 μB per cell.

---

[11]
Compound: Ce2TmMnN5
Source: Alexandria via LeMat-Bulk
Functional: PBE-GGA
Structure: relaxed

a b c (Å): 6.494 6.494 5.627
angles (deg): 90.00 90.00 90.00
Fractional positions:
Ce (0.167, 0.333, 0.000)
Ce (0.333, 0.833, 0.000)
Ce (0.667, 0.167, 0.000)
Ce (0.833, 0.667, 0.000)
Tm (0.000, 0.000, 0.500)
Tm (0.500, 0.500, 0.500)
Mn (0.000, 0.500, 0.500)
Mn (0.500, 0.000, 0.500)
N (0.000, 0.000, 0.000)
N (0.146, 0.646, 0.275)
N (0.146, 0.646, 0.725)
N (0.354, 0.146, 0.275)
N (0.354, 0.146, 0.725)
N (0.500, 0.500, 0.000)
N (0.646, 0.854, 0.275)
N (0.646, 0.854, 0.725)
N (0.854, 0.354, 0.275)
N (0.854, 0.354, 0.725)

The energy relative to the elements, uncorrected comes out at -887 meV per atom. Its final energy is -8.346 eV per atom. As for the magnetic moment: 1.96 μB per cell.

---

[12]
Compound: BaMnH2Cl8
Source: Alexandria via LeMat-Bulk
Functional: PBE-GGA
Structure: relaxed

a b c (Å): 6.599 6.599 8.385
angles (deg): 98.05 98.05 69.42
Fractional positions:
Ba (0.000, 0.000, 0.000)
Mn (0.000, 0.000, 0.500)
H (0.256, 0.256, 0.776)
H (0.744, 0.744, 0.224)
Cl (0.213, 0.213, 0.554)
Cl (0.215, 0.777, 0.690)
Cl (0.223, 0.785, 0.310)
Cl (0.291, 0.291, 0.944)
Cl (0.709, 0.709, 0.056)
Cl (0.777, 0.215, 0.690)
Cl (0.785, 0.223, 0.310)
Cl (0.787, 0.787, 0.446)

Its final energy is -3.833 eV per atom. As for the magnetic moment: 3.03 μB per cell.

---

[13]
Compound: RbTl3Ga
Source: Alexandria via LeMat-Bulk
Functional: PBE-GGA
Structure: relaxed

a b c (Å): 5.729 5.729 5.729
angles (deg): 90.00 90.00 90.00
Fractional positions:
Rb (0.000, 0.000, 0.000)
Tl (0.000, 0.500, 0.500)
Tl (0.500, 0.000, 0.500)
Tl (0.500, 0.500, 0.000)
Ga (0.500, 0.500, 0.500)

The energy relative to the elements is 0.34 eV/f.u. The calculation puts the energy above the most stable polymorph in this dataset at 98 meV per atom. Its final energy is -2.150 eV per atom. As for the magnetic moment: 0.00 μB per cell.

---

[14]
Compound: NaIrCO5
Source: Alexandria via LeMat-Bulk
Functional: PBE-GGA
Structure: relaxed

a b c (Å): 5.201 5.201 7.015
angles (deg): 105.96 105.96 104.87
Fractional positions:
Na (0.153, 0.847, 0.750)
Na (0.847, 0.153, 0.250)
Ir (0.500, 0.500, 0.000)
Ir (0.500, 0.500, 0.500)
C (0.193, 0.807, 0.250)
C (0.807, 0.193, 0.750)
O (0.080, 0.251, 0.908)
O (0.172, 0.608, 0.348)
O (0.251, 0.080, 0.408)
O (0.392, 0.828, 0.152)
O (0.416, 0.584, 0.750)
O (0.584, 0.416, 0.250)
O (0.608, 0.172, 0.848)
O (0.749, 0.920, 0.592)
O (0.828, 0.392, 0.652)
O (0.920, 0.749, 0.092)

The energy relative to the elements, uncorrected comes out at -985 meV per atom. Its final energy is -6.509 eV per atom. As for the magnetic moment: 0.00 μB per cell.

---

[15]
Compound: CdCo3Bi
Source: Alexandria via LeMat-Bulk
Functional: PBE-GGA
Structure: relaxed

a b c (Å): 4.715 4.715 4.715
angles (deg): 90.00 90.00 90.00
Fractional positions:
Cd (0.000, 0.000, 0.000)
Co (0.000, 0.000, 0.500)
Co (0.000, 0.500, 0.000)
Co (0.500, 0.000, 0.000)
Bi (0.500, 0.500, 0.500)

The energy relative to the elements is 6.99 eV/f.u. The calculation puts the energy above the most stable polymorph in this dataset at 40 meV per atom. Its final energy is -3.826 eV per atom. As for the magnetic moment: 4.62 μB per cell.

---

[16]
Compound: Ca2BiHAu
Source: Alexandria via LeMat-Bulk
Functional: PBE-GGA
Structure: relaxed

a b c (Å): 5.284 5.284 3.998
angles (deg): 90.00 90.00 90.00
Fractional positions:
Ca (0.000, 0.500, 0.000)
Ca (0.500, 0.000, 0.000)
Bi (0.000, 0.000, 0.500)
H (0.500, 0.500, 0.000)
Au (0.500, 0.500, 0.500)

Its final energy is -3.530 eV per atom. As for the magnetic moment: 0.00 μB per cell.

---

[17]
Compound: Nb2PdPt3
Source: Alexandria via LeMat-Bulk
Functional: PBE-GGA
Structure: relaxed

a b c (Å): 4.774 4.774 9.355
angles (deg): 105.34 105.34 87.79
Fractional positions:
Nb (0.007, 0.729, 0.897)
Nb (0.271, 0.993, 0.603)
Nb (0.729, 0.007, 0.397)
Nb (0.993, 0.271, 0.103)
Pd (0.165, 0.835, 0.250)
Pd (0.835, 0.165, 0.750)
Pt (0.204, 0.399, 0.424)
Pt (0.399, 0.204, 0.924)
Pt (0.424, 0.576, 0.750)
Pt (0.576, 0.424, 0.250)
Pt (0.601, 0.796, 0.076)
Pt (0.796, 0.601, 0.576)

The energy relative to the elements is -2.81 eV/f.u. The calculation puts the energy above the most stable polymorph in this dataset at 56 meV per atom. Its final energy is -7.711 eV per atom. As for the magnetic moment: 0.00 μB per cell.

---

[18]
Compound: ErTm3Rh
Source: Alexandria via LeMat-Bulk
Functional: PBE-GGA
Structure: relaxed

a b c (Å): 7.166 7.166 7.924
angles (deg): 123.49 123.49 72.15
Fractional positions:
Er (0.052, 0.052, 0.341)
Er (0.948, 0.948, 0.659)
Tm (0.054, 0.449, 0.211)
Tm (0.447, 0.447, 0.737)
Tm (0.449, 0.054, 0.211)
Tm (0.551, 0.946, 0.789)
Tm (0.553, 0.553, 0.263)
Tm (0.946, 0.551, 0.789)
Rh (0.251, 0.251, 0.877)
Rh (0.749, 0.749, 0.123)

The energy relative to the elements is -1.86 eV/f.u. The calculation puts the energy above the most stable polymorph in this dataset at 43 meV per atom. Its final energy is -5.439 eV per atom. As for the magnetic moment: 1.24 μB per cell.

---

[19]
Compound: Ba2Li2Ga3
Source: Alexandria via LeMat-Bulk
Functional: PBE-GGA
Structure: relaxed

a b c (Å): 11.354 5.038 6.970
angles (deg): 90.00 109.59 90.00
Fractional positions:
Ba (0.148, 0.000, 0.280)
Ba (0.352, 0.500, 0.720)
Ba (0.648, 0.500, 0.280)
Ba (0.852, 0.000, 0.720)
Li (0.170, 0.000, 0.829)
Li (0.330, 0.500, 0.171)
Li (0.670, 0.500, 0.829)
Li (0.830, 0.000, 0.171)
Ga (0.000, 0.500, 0.500)
Ga (0.081, 0.500, 0.893)
Ga (0.419, 0.000, 0.107)
Ga (0.500, 0.000, 0.500)
Ga (0.581, 0.000, 0.893)
Ga (0.919, 0.500, 0.107)

The energy relative to the elements is -1.91 eV/f.u. Its final energy is -2.666 eV per atom. As for the magnetic moment: 0.00 μB per cell.

---

[20]
Compound: Cs4I2Br
Source: Alexandria via LeMat-Bulk
Functional: PBE-GGA
Structure: relaxed

a b c (Å): 15.390 15.390 15.390
angles (deg): 24.13 24.13 24.13
Fractional positions:
Cs (0.124, 0.124, 0.124)
Cs (0.299, 0.299, 0.299)
Cs (0.701, 0.701, 0.701)
Cs (0.876, 0.876, 0.876)
I (0.212, 0.212, 0.212)
I (0.788, 0.788, 0.788)
Br (0.000, 0.000, 0.000)

The energy relative to the elements, uncorrected comes out at -1274 meV per atom. The calculation puts the energy above the most stable polymorph in this dataset at 13 meV per atom. Its final energy is -2.444 eV per atom. As for the magnetic moment: 0.00 μB per cell.

---

[21]
Compound: Ga2Hg2Au3
Source: Alexandria via LeMat-Bulk
Functional: PBE-GGA
Structure: relaxed

a b c (Å): 3.266 6.429 7.279
angles (deg): 90.58 101.36 90.39
Fractional positions:
Ga (0.149, 0.038, 0.302)
Ga (0.851, 0.962, 0.698)
Hg (0.395, 0.406, 0.821)
Hg (0.605, 0.594, 0.179)
Au (0.259, 0.700, 0.519)
Au (0.500, 0.000, 0.000)
Au (0.741, 0.300, 0.481)

The energy relative to the elements is -0.59 eV/f.u. Its final energy is -2.440 eV per atom. As for the magnetic moment: 0.00 μB per cell.

---

[22]
Compound: Sb3IrRu
Source: Alexandria via LeMat-Bulk
Functional: PBE-GGA
Structure: relaxed

a b c (Å): 4.996 4.996 4.996
angles (deg): 90.00 90.00 90.00
Fractional positions:
Sb (0.000, 0.000, 0.500)
Sb (0.000, 0.500, 0.000)
Sb (0.500, 0.000, 0.000)
Ir (0.500, 0.500, 0.500)
Ru (0.000, 0.000, 0.000)

The energy relative to the elements, uncorrected comes out at 917 meV per atom. The calculation puts the energy above the most stable polymorph in this dataset at 0 meV per atom. Its final energy is -5.184 eV per atom. As for the magnetic moment: 0.00 μB per cell.